VASP calculation (PBE-GGA) on BaGaMo3 after structural relaxation.

a b c (Å): 4.8667 4.8667 4.8667
angles (deg): 90.00 90.00 90.00
Last column: nearest neighbours and their distance in Å.
Sites, in units of the cell vectors:
Mo: 0.5000 0.0000 0.0000  2 Ga 2.43
Ba: 0.5000 0.5000 0.5000  12 Mo 3.44
Mo: 0.0000 0.0000 0.5000  2 Ga 2.43
Ga: 0.0000 0.0000 0.0000  6 Mo 2.43
Mo: 0.0000 0.5000 0.0000  2 Ga 2.43

symmetry = Pm-3m, No. 221
offset from the most stable computed form = 0.0 meV per atom
DOS(E_F) = 1.25 states/eV/atom
ΔE_f = 1529 meV per atom


VASP calculation (PBE-GGA) on BaGaMo2N after structural relaxation.

a b c (Å): 5.0726 4.0976 5.0726
angles (deg): 90.00 90.00 90.00
Last column: nearest neighbours and their distance in Å.
Sites, in units of the cell vectors:
Ba: 0.5000 0.5000 0.5000  8 Mo 3.26, 4 N 3.59
Ga: 0.0000 0.0000 0.0000  2 N 2.05
N: 0.0000 0.5000 0.0000  2 Ga 2.05
Mo: 0.5000 0.0000 0.0000  2 Ga 2.54
Mo: 0.0000 0.0000 0.5000  2 Ga 2.54

symmetry = P4/mmm, No. 123
DOS(E_F) = 1.12 states/eV/atom
formation energy without anion corrections = 1709 meV per atom